Entry from the Alexandria database: a relaxed structure of Li2InOs (PBE).

Geometry as CIF:
```
data_Li2InOs
_symmetry_space_group_name_H-M 'R -3 m'
_symmetry_Int_Tables_number 166
_symmetry_space_group_name_Hall '-R 3 2"'
_cell_length_a 2.8326
_cell_length_b 2.8326
_cell_length_c 28.4799
_cell_angle_alpha 90.00
_cell_angle_beta 90.00
_cell_angle_gamma 120.00
loop_
_atom_site_label
_atom_site_fract_x
_atom_site_fract_y
_atom_site_fract_z
Li1 0.0000 0.0000 0.2421
In1 0.0000 0.0000 0.0000
Os1 0.0000 0.0000 0.5000
```

Results
Uncorrected energy in eV for the cell shown: -50.38
Calculated density in g/cm3: 8.03
Formation energy from the elements in eV per atom: 0.251